First-principles (PBE) data for an optimized crystal structure of Li2HoGaAu2, as listed in the Alexandria database.

Output
Final energy = -3.58 eV per atom

Cell: 4.4753 4.4753 6.2996 Å, 90.00 90.00 120.00°
Closest atoms and distances in Å follow each position.
Space group P-3m1 (No. 164)
Inequivalent atoms, fractional coordinates:
Li: 0.3333 0.6667 0.1707  4 Au 2.62-2.63, 3 Ga 2.80
Ho: 0.0000 0.0000 0.5000  6 Au 3.04, 2 Ga 3.15, 6 Li 3.31
Ga: 0.0000 0.0000 0.0000  6 Li 2.80, 6 Au 3.01
Au: 0.3333 0.6667 0.7554  4 Li 2.62-2.63

***

First-principles (PBE) data for an optimized crystal structure of LiHoGa2Au2, as listed in the Alexandria database.

Output
Final energy = -3.83 eV per atom

Cell: 4.4955 4.4955 6.4374 Å, 90.00 90.00 120.00°
Closest atoms and distances in Å follow each position.
Space group P-3m1 (No. 164)
Inequivalent atoms, fractional coordinates:
Li: 0.0000 0.0000 0.0000  6 Ga 2.93, 6 Au 2.99, 2 Ho 3.22
Ho: 0.0000 0.0000 0.5000  6 Au 3.12, 6 Ga 3.20, 2 Li 3.22
Ga: 0.3333 0.6667 0.2096  4 Au 2.60-2.84
Au: 0.3333 0.6667 0.7685  4 Ga 2.60-2.84

***

First-principles (PBE) data for an optimized crystal structure of LiHo2Ga3Au4, as listed in the Alexandria database.

Output
Final energy = -3.91 eV per atom

Cell: 4.2164 4.2164 11.2329 Å, 90.00 90.00 90.00°
Closest atoms and distances in Å follow each position.
Space group P-4m2 (No. 115)
Inequivalent atoms, fractional coordinates:
Li: 0.0000 0.0000 0.0000  4 Au 2.64
Ho: 0.0000 0.5000 0.7369  4 Ga 3.19, 8 Au 3.28-3.40
Ga: 0.0000 0.5000 0.3636  5 Au 2.50-2.61
Ga: 0.5000 0.5000 0.0000  4 Au 2.64
Au: 0.0000 0.0000 0.5000  4 Ga 2.61
Au: 0.0000 0.5000 0.1412  3 Ga 2.50-2.64, 2 Li 2.64
Au: 0.5000 0.5000 0.5000  4 Ga 2.61

***

First-principles (PBE) data for an optimized crystal structure of LiHoGaAu, as listed in the Alexandria database.

Output
Final energy = -3.78 eV per atom
Excess energy over the best structure of this formula in the dataset = 31.6 meV per atom

Cell: 6.8010 6.8010 6.8010 Å, 90.00 90.00 90.00°
Closest atoms and distances in Å follow each position.
Space group F-43m (No. 216)
Inequivalent atoms, fractional coordinates:
Li: 0.0000 0.0000 0.0000  4 Ga 2.94, 4 Au 2.94
Ho: 0.0000 0.0000 0.5000  4 Ga 2.94, 4 Au 2.94
Ga: 0.2500 0.2500 0.2500  4 Li 2.94, 4 Ho 2.94
Au: 0.2500 0.2500 0.7500  4 Li 2.94, 4 Ho 2.94

***

First-principles (PBE) data for an optimized crystal structure of LiHoGaAu, as listed in the Alexandria database.

Output
Final energy = -3.81 eV per atom
Excess energy over the best structure of this formula in the dataset = 0.0 meV per atom

Cell: 6.6509 6.6509 6.6509 Å, 90.00 90.00 90.00°
Closest atoms and distances in Å follow each position.
Space group F-43m (No. 216)
Inequivalent atoms, fractional coordinates:
Li: 0.0000 0.0000 0.0000  4 Ho 2.88, 4 Ga 2.88
Ho: 0.2500 0.2500 0.7500  4 Li 2.88, 4 Au 2.88
Ga: 0.2500 0.2500 0.2500  4 Li 2.88, 4 Au 2.88
Au: 0.0000 0.0000 0.5000  4 Ho 2.88, 4 Ga 2.88

***

First-principles (PBE) data for an optimized crystal structure of LiHoGa2Au4, as listed in the Alexandria database.

Output
Final energy = -3.75 eV per atom

Cell: 4.5403 4.5403 24.5887 Å, 90.00 90.00 120.00°
Closest atoms and distances in Å follow each position.
Space group R-3m (No. 166, hexagonal axes)
Inequivalent atoms, fractional coordinates:
Li: 0.0000 0.0000 0.0000  8 Au 2.64-2.75
Ho: 0.0000 0.0000 0.5000  8 Au 3.00-3.26
Ga: 0.0000 0.0000 0.2553  7 Au 2.72-2.83
Au: 0.0000 0.0000 0.1075  1 Li 2.64, 3 Ga 2.72
Au: 0.0000 0.0000 0.3675  3 Li 2.75, 4 Ga 2.76-2.83

***

First-principles (PBE) data for an optimized crystal structure of HoMg2GaAu4, as listed in the Alexandria database.

Output
Final energy = -3.56 eV per atom

Cell: 4.6365 4.6365 25.1266 Å, 90.00 90.00 120.00°
Closest atoms and distances in Å follow each position.
Space group R-3m (No. 166, hexagonal axes)
Inequivalent atoms, fractional coordinates:
Ho: 0.0000 0.0000 0.0000  8 Au 3.01-3.12
Mg: 0.0000 0.0000 0.2438  7 Au 2.81-3.00
Ga: 0.0000 0.0000 0.5000  8 Au 2.81-2.88
Au: 0.0000 0.0000 0.1243  4 Mg 2.82-3.00, 3 Ga 2.88, 1 Ho 3.12
Au: 0.0000 0.0000 0.3883  1 Ga 2.81, 3 Mg 2.81, 3 Ho 3.01

***

First-principles (PBE) data for an optimized crystal structure of HoMgGa2Au5, as listed in the Alexandria database.

Output
Final energy = -3.65 eV per atom

Cell: 4.3330 4.3330 9.1279 Å, 90.00 90.00 90.00°
Closest atoms and distances in Å follow each position.
Space group P4/mmm (No. 123)
Inequivalent atoms, fractional coordinates:
Ho: 0.0000 0.0000 0.0000  8 Ga 3.29, 8 Au 3.37
Mg: 0.0000 0.0000 0.5000  12 Au 2.94-3.06
Ga: 0.5000 0.5000 0.1314  1 Ga 2.40, 4 Au 2.57
Au: 0.0000 0.5000 0.2830  2 Ga 2.57
Au: 0.5000 0.5000 0.5000  8 Au 2.94, 4 Mg 3.06

***

First-principles (PBE) data for an optimized crystal structure of HoMgGa2Au2, as listed in the Alexandria database.

Output
Final energy = -3.75 eV per atom

Cell: 4.4979 4.4979 6.6812 Å, 90.00 90.00 120.00°
Closest atoms and distances in Å follow each position.
Space group P-3m1 (No. 164)
Inequivalent atoms, fractional coordinates:
Ho: 0.0000 0.0000 0.0000  6 Ga 3.13, 6 Au 3.16, 2 Mg 3.34
Mg: 0.0000 0.0000 0.5000  6 Au 3.02, 6 Ga 3.04, 2 Ho 3.34
Ga: 0.3333 0.6667 0.7378  3 Au 2.60
Au: 0.3333 0.6667 0.2696  3 Ga 2.60

***

First-principles (PBE) data for an optimized crystal structure of NaHoGa2Au2, as listed in the Alexandria database.

Output
Final energy = -3.63 eV per atom

Cell: 4.5549 4.5549 7.0399 Å, 90.00 90.00 120.00°
Closest atoms and distances in Å follow each position.
Space group P-3m1 (No. 164)
Inequivalent atoms, fractional coordinates:
Na: 0.0000 0.0000 0.0000  6 Ga 3.18, 6 Au 3.26, 2 Ho 3.52
Ho: 0.0000 0.0000 0.5000  6 Au 3.07, 6 Ga 3.14
Ga: 0.3333 0.6667 0.7448  3 Au 2.63
Au: 0.3333 0.6667 0.2738  3 Ga 2.63

***

First-principles (PBE) data for an optimized crystal structure of NaHoGaAu, as listed in the Alexandria database.

Output
Final energy = -3.47 eV per atom

Cell: 7.0257 7.0257 7.0257 Å, 90.00 90.00 90.00°
Closest atoms and distances in Å follow each position.
Space group F-43m (No. 216)
Inequivalent atoms, fractional coordinates:
Na: 0.0000 0.0000 0.0000  4 Ga 3.04, 4 Au 3.04
Ho: 0.0000 0.0000 0.5000  4 Au 3.04, 4 Ga 3.04
Ga: 0.2500 0.2500 0.2500  4 Na 3.04, 4 Ho 3.04
Au: 0.2500 0.2500 0.7500  4 Na 3.04, 4 Ho 3.04

***

First-principles (PBE) data for an optimized crystal structure of NdHoGa2Au2, as listed in the Alexandria database.

Output
Final energy = -4.44 eV per atom

Cell: 4.5572 4.5572 7.3036 Å, 90.00 90.00 120.00°
Closest atoms and distances in Å follow each position.
Space group P-3m1 (No. 164)
Inequivalent atoms, fractional coordinates:
Nd: 0.0000 0.0000 0.0000  6 Ga 3.27, 6 Au 3.30, 2 Ho 3.65
Ho: 0.0000 0.0000 0.5000  6 Au 3.11, 6 Ga 3.13
Ga: 0.3333 0.6667 0.7330  3 Au 2.63
Au: 0.3333 0.6667 0.2729  3 Ga 2.63